The following is a DFT calculation (PBE) of a geometry-optimized Tm5Al2Pb2 structure.

Cell lengths 8.727, 8.727, 7.829 Å; angles 90.00, 90.00, 54.39 degrees
Positions (direct):
Tm  0.000  0.000  0.000
Tm  0.046  0.691  0.675
Tm  0.191  0.546  0.175
Tm  0.309  0.954  0.675
Tm  0.454  0.809  0.175
Tm  0.500  0.500  0.500
Tm  0.546  0.191  0.825
Tm  0.691  0.046  0.325
Tm  0.809  0.454  0.825
Tm  0.954  0.309  0.325
Al  0.119  0.881  0.379
Al  0.381  0.619  0.879
Al  0.619  0.381  0.121
Al  0.881  0.119  0.621
Pb  0.213  0.213  0.000
Pb  0.287  0.287  0.500
Pb  0.713  0.713  0.500
Pb  0.787  0.787  0.000

The calculation puts the spin magnetization at 0.00 μB per cell. The value obtained for the formation energy is -0.407 eV per atom. The uncorrected energy is -4.547 eV per atom.

***

The following is a DFT calculation (PBE) of a geometry-optimized HfTaAgP2 structure.

Cell lengths 4.744, 4.744, 5.229 Å; angles 90.00, 90.00, 90.00 degrees
Positions (direct):
Hf  0.000  0.000  0.000
Ta  0.000  0.000  0.500
Ag  0.500  0.500  0.000
P  0.000  0.500  0.500
P  0.500  0.000  0.500

The calculation puts the spin magnetization at 0.00 μB per cell. The value obtained for the formation energy is 0.689 eV per atom. The uncorrected energy is -6.406 eV per atom.

***

The following is a DFT calculation (PBE) of a geometry-optimized RePCBr2 structure.

Cell lengths 4.759, 4.759, 4.028 Å; angles 90.00, 90.00, 90.00 degrees
Positions (direct):
Re  0.000  0.000  0.000
P  0.500  0.500  0.000
C  0.000  0.000  0.500
Br  0.000  0.500  0.500
Br  0.500  0.000  0.500

The calculation puts the spin magnetization at 0.00 μB per cell. The uncorrected formation energy is 9.14 eV/f.u. The uncorrected energy is -4.258 eV per atom.

***

The following is a DFT calculation (PBE) of a geometry-optimized YZnGa3 structure.

Cell lengths 4.798, 4.798, 4.798 Å; angles 90.00, 90.00, 90.00 degrees
Positions (direct):
Y  0.000  0.000  0.000
Zn  0.500  0.500  0.500
Ga  0.000  0.500  0.500
Ga  0.500  0.000  0.500
Ga  0.500  0.500  0.000

The calculation puts the spin magnetization at 0.00 μB per cell. The value obtained for the formation energy is 0.029 eV per atom. The uncorrected energy is -3.334 eV per atom.